[1]
Here is a relaxed structure of La2Ni9Hg from the Alexandria database. Energies are from PBE.

Cell lengths 8.766, 8.766, 8.766 Å; angles 33.06, 33.06, 33.06 degrees
Sites, in units of the cell vectors:
La1 0.134 0.134 0.134
La2 0.866 0.866 0.866
Ni1 0.080 0.580 0.580
Ni2 0.332 0.332 0.332
Ni3 0.420 0.420 0.920
Ni4 0.420 0.920 0.420
Ni5 0.500 0.500 0.500
Ni6 0.580 0.080 0.580
Ni7 0.580 0.580 0.080
Ni8 0.668 0.668 0.668
Ni9 0.920 0.420 0.420
Hg1 0.000 0.000 0.000

Symmetry: R-3m (166)
ΔE_f: -0.14 eV per atom
Density of states at the Fermi level: 11.05 states/eV/cell

=====

[2]
Here is a relaxed structure of La5NiHg from the Alexandria database. Energies are from PBE.

Cell lengths 6.406, 6.406, 11.896 Å; angles 104.46, 104.46, 71.57 degrees
Sites, in units of the cell vectors:
La1 0.021 0.979 0.750
La2 0.043 0.427 0.140
La3 0.209 0.562 0.448
La4 0.427 0.043 0.640
La5 0.438 0.791 0.052
La6 0.562 0.209 0.948
La7 0.573 0.957 0.360
La8 0.791 0.438 0.552
La9 0.957 0.573 0.860
La10 0.979 0.021 0.250
Ni1 0.000 0.000 0.000
Ni2 0.000 0.000 0.500
Hg1 0.447 0.553 0.750
Hg2 0.553 0.447 0.250

Symmetry: C2/c (15)
ΔE_f: -0.17 eV per atom
Density of states at the Fermi level: 15.99 states/eV/cell

=====

[3]
Here is a relaxed structure of La2NiHg from the Alexandria database. Energies are from PBE.

Cell lengths 6.682, 6.682, 6.682 Å; angles 105.73, 105.73, 117.24 degrees
Sites, in units of the cell vectors:
La1 0.069 0.125 0.444
La2 0.375 0.931 0.056
La3 0.681 0.625 0.556
La4 0.875 0.319 0.944
Ni1 0.000 0.000 0.000
Ni2 0.750 0.250 0.500
Hg1 0.250 0.750 0.500
Hg2 0.500 0.500 0.000

Symmetry: I-42d (122)
ΔE_f: -0.15 eV per atom
Density of states at the Fermi level: 10.60 states/eV/cell

=====

[4]
Here is a relaxed structure of La2NiHg from the Alexandria database. Energies are from PBE.

Cell lengths 7.695, 7.695, 7.549 Å; angles 90.00, 90.00, 150.81 degrees
Sites, in units of the cell vectors:
La1 0.140 0.860 0.502
La2 0.140 0.860 0.998
La3 0.860 0.140 0.002
La4 0.860 0.140 0.498
Ni1 0.298 0.702 0.750
Ni2 0.702 0.298 0.250
Hg1 0.495 0.505 0.750
Hg2 0.505 0.495 0.250

Symmetry: Cmcm (63)
ΔE_f: -0.38 eV per atom
Density of states at the Fermi level: 7.46 states/eV/cell

=====

[5]
Here is a relaxed structure of LaNiHg2 from the Alexandria database. Energies are from PBE.

Cell lengths 3.498, 3.498, 7.563 Å; angles 90.00, 90.00, 90.00 degrees
Sites, in units of the cell vectors:
La1 0.000 0.000 0.000
Ni1 0.500 0.500 0.218
Hg1 0.000 0.000 0.416
Hg2 0.500 0.500 0.681

Symmetry: P4mm (99)
ΔE_f: -0.15 eV per atom
Density of states at the Fermi level: 2.64 states/eV/cell

=====

[6]
Here is a relaxed structure of LaNiHg2 from the Alexandria database. Energies are from PBE.

Cell lengths 6.437, 6.437, 4.151 Å; angles 107.94, 107.94, 126.69 degrees
Sites, in units of the cell vectors:
La1 0.000 0.000 0.000
Ni1 0.500 0.500 0.000
Hg1 0.000 0.500 0.500
Hg2 0.500 0.000 0.500

Symmetry: C2/m (12)
ΔE_f: 0.02 eV per atom
Density of states at the Fermi level: 2.75 states/eV/cell